Compound: Li6MnFe5B6O18
Source: the Alexandria database
Functional: GGA+U
Structure: relaxed

a b c (Å): 8.788 8.788 8.214
angles (deg): 117.64 117.64 41.96
Fractional coordinates of all 36 atoms:
Li (0.092, 0.592, 0.265)
Li (0.248, 0.752, 0.000)
Li (0.382, 0.879, 0.578)
Li (0.592, 0.092, 0.265)
Li (0.752, 0.248, 0.000)
Li (0.879, 0.382, 0.578)
Mn (0.677, 0.677, 0.292)
Fe (0.183, 0.183, 0.296)
Fe (0.310, 0.310, 0.911)
Fe (0.484, 0.484, 0.650)
Fe (0.810, 0.810, 0.910)
Fe (0.988, 0.988, 0.641)
B (0.076, 0.574, 0.617)
B (0.406, 0.910, 0.945)
B (0.490, 0.490, 0.279)
B (0.574, 0.076, 0.617)
B (0.910, 0.406, 0.945)
B (0.992, 0.992, 0.278)
O (0.036, 0.036, 0.171)
O (0.046, 0.046, 0.474)
O (0.115, 0.616, 0.810)
O (0.132, 0.632, 0.534)
O (0.309, 0.812, 0.839)
O (0.392, 0.392, 0.194)
O (0.447, 0.956, 0.140)
O (0.462, 0.960, 0.857)
O (0.473, 0.983, 0.502)
O (0.531, 0.531, 0.167)
O (0.544, 0.544, 0.474)
O (0.616, 0.115, 0.810)
O (0.632, 0.132, 0.534)
O (0.812, 0.309, 0.839)
O (0.894, 0.894, 0.193)
O (0.956, 0.447, 0.140)
O (0.960, 0.462, 0.857)
O (0.983, 0.473, 0.502)

* raw total energy: -251.13 eV/cell
* ΔE to the lowest computed polymorph: 0.2 kJ per mole of atoms